14
Lattice="-3.2808 -9.0686 -2.4123 5.4495 -5.8480 -5.9099 3.5591 -7.3091 2.1536" Properties=species:S:1:pos:R:3 comment="Ac3Tb3Sm GGA-PBE relaxed" e_form_ev_per_atom=0.057 dft_energy_ev_per_atom=-4.3623 space_group="R-3, No. 148" dos_ef_per_ev_cell=23.04 magnetic_moment_mub_per_cell=0.00 pbc="T T T"
Ac 6.4183 -13.5797 -4.4005
Ac -0.0055 -13.7413 -0.7798
Ac 4.2863 -7.7542 -0.4107
Ac 1.4414 -14.4716 -5.7578
Ac 5.7332 -8.4845 -5.3887
Ac -0.6906 -8.6460 -1.7680
Tb 2.4819 -8.5801 -3.5719
Tb 0.3982 -11.5771 -3.7938
Tb 3.5938 -11.4365 -5.5664
Tb 2.1339 -10.7892 -0.6021
Tb 5.3295 -10.6486 -2.3747
Tb 3.2458 -13.6456 -2.5967
Sm 4.3552 -16.7182 -4.5232
Sm 1.3725 -5.5075 -1.6454